Record 1
Computed, not measured: a geometry-optimized CaErTlZn structure at the PBE level of DFT.

Cell lengths 3.6784, 3.6784, 7.5811 Å; angles 90.00, 90.00, 90.00 degrees
Each line ends with the local moment (μB).
Atoms (fractional coordinates):
Zn: 0.5000 0.5000 0.5895  0.00
Ca: 0.0000 0.0000 0.8412  0.00
Er: 0.0000 0.0000 0.3797  0.08
Tl: 0.5000 0.5000 0.1176  0.00

For the energy relative to the elements, the calculation gives -0.343 eV per atom. Its total magnetization is 0.1 Bohr magnetons per cell. The value obtained for the polymorph energy (0 for the lowest one) is 0 meV/atom. The density of states at the Fermi level comes out at 2.7 states/eV/cell.

***

Record 2
Computed, not measured: a geometry-optimized CaErTlZn structure at the PBE level of DFT.

Cell lengths 5.2539, 5.2539, 5.2539 Å; angles 60.00, 60.00, 60.00 degrees
Atoms (fractional coordinates):
Zn: 0.0000 0.0000 0.0000
Er: 0.7500 0.7500 0.7500
Tl: 0.5000 0.5000 0.5000
Ca: 0.2500 0.2500 0.2500

For the energy relative to the elements, the calculation gives -0.328 eV per atom. Its total magnetization is 0.0 Bohr magnetons per cell. The value obtained for the polymorph energy (0 for the lowest one) is 16 meV/atom. The density of states at the Fermi level comes out at 1.9 states/eV/cell.

***

Record 3
Computed, not measured: a geometry-optimized Ca2ErTm structure at the PBE level of DFT.

Cell lengths 3.5587, 3.5587, 13.0790 Å; angles 82.18, 82.18, 60.00 degrees
Each line ends with the local moment (μB).
Atoms (fractional coordinates):
Ca: 0.9124 0.9124 0.2628  0.04
Tm: 0.0000 0.0000 0.0000  0.32
Ca: 0.0876 0.0876 0.7372  0.04
Er: 0.5000 0.5000 0.5000  0.22

For the energy relative to the elements, the calculation gives 0.282 eV per atom. Its total magnetization is 1.0 Bohr magnetons per cell. The density of states at the Fermi level comes out at 6.7 states/eV/cell.

***

Record 4
Computed, not measured: a geometry-optimized CaEr6Tm5 structure at the PBE level of DFT.

Cell lengths 4.9822, 7.8857, 9.9561 Å; angles 90.00, 90.00, 71.59 degrees
Atoms (fractional coordinates):
Er: 0.8302 0.3398 0.2542
Tm: 0.3330 0.3340 0.5000
Tm: 0.0000 0.0000 0.5000
Er: 0.8301 0.3398 0.7458
Tm: 0.6670 0.6660 0.5000
Er: 0.4999 0.0000 0.7407
Er: 0.5001 0.0000 0.2593
Er: 0.1699 0.6602 0.2542
Tm: 0.6724 0.6551 0.0000
Er: 0.1698 0.6602 0.7458
Ca: 0.0000 0.0000 0.0000
Tm: 0.3276 0.3449 0.0000

For the energy relative to the elements, the calculation gives 0.058 eV per atom. Its total magnetization is 0.0 Bohr magnetons per cell. The density of states at the Fermi level comes out at 17.1 states/eV/cell.

***

Record 5
Computed, not measured: a geometry-optimized CaEr6Tm8 structure at the PBE level of DFT.

Cell lengths 6.1276, 6.1276, 14.6070 Å; angles 77.89, 77.89, 60.00 degrees
Atoms (fractional coordinates):
Tm: 0.6667 0.6667 0.0000
Tm: 0.1339 0.8013 0.5981
Er: 0.0683 0.4083 0.7950
Er: 0.4083 0.7285 0.7950
Tm: 0.4667 0.1339 0.5981
Er: 0.5917 0.2715 0.2050
Tm: 0.8661 0.1987 0.4019
Er: 0.9317 0.5917 0.2050
Er: 0.2715 0.9317 0.2050
Ca: 0.0000 0.0000 0.0000
Tm: 0.1987 0.5333 0.4019
Tm: 0.5333 0.8661 0.4019
Tm: 0.8013 0.4667 0.5981
Tm: 0.3333 0.3333 0.0000
Er: 0.7285 0.0683 0.7950

For the energy relative to the elements, the calculation gives 0.039 eV per atom. Its total magnetization is 0.0 Bohr magnetons per cell. The density of states at the Fermi level comes out at 21.4 states/eV/cell.

***

Record 6
Computed, not measured: a geometry-optimized CaEr12Tm5 structure at the PBE level of DFT.

Cell lengths 23.5286, 14.8871, 6.0880 Å; angles 113.94, 120.97, 18.50 degrees
Atoms (fractional coordinates):
Er: 0.6644 0.0023 0.9994
Er: 0.0019 0.6645 0.0006
Tm: 0.8273 0.3457 0.5002
Er: 0.1657 0.3341 0.4955
Er: 0.1695 0.9999 0.5090
Tm: 0.5000 0.0000 0.5000
Ca: 0.0000 0.0000 0.0000
Tm: 0.1727 0.6543 0.4998
Tm: 0.6614 0.6777 0.0001
Er: 0.6644 0.3354 0.0036
Tm: 0.3386 0.3223 0.9999
Er: 0.5079 0.3228 0.5088
Er: 0.8305 0.0001 0.4910
Er: 0.9981 0.3355 0.9994
Er: 0.8343 0.6659 0.5045
Er: 0.4921 0.6772 0.4912
Er: 0.3356 0.6646 0.9964
Er: 0.3356 0.9977 0.0006

For the energy relative to the elements, the calculation gives 0.046 eV per atom. Its total magnetization is 0.0 Bohr magnetons per cell. The density of states at the Fermi level comes out at 24.9 states/eV/cell.

***

Record 7
Computed, not measured: a geometry-optimized CaEr2Tm structure at the PBE level of DFT.

Cell lengths 5.0423, 5.0582, 5.0582 Å; angles 90.00, 90.00, 90.00 degrees
Atoms (fractional coordinates):
Ca: 0.5000 0.0000 0.0000
Tm: 0.5000 0.5000 0.5000
Er: 0.0000 0.0000 0.5000
Er: 0.0000 0.5000 0.0000

For the energy relative to the elements, the calculation gives 0.155 eV per atom. Its total magnetization is 0.0 Bohr magnetons per cell. The value obtained for the polymorph energy (0 for the lowest one) is 83 meV/atom. The density of states at the Fermi level comes out at 7.2 states/eV/cell.

***

Record 8
Computed, not measured: a geometry-optimized CaEr8Tm6 structure at the PBE level of DFT.

Cell lengths 8.0527, 8.0527, 8.0527 Å; angles 72.24, 72.24, 72.24 degrees
Atoms (fractional coordinates):
Tm: 0.6165 0.1772 0.4398
Er: 0.2417 0.2417 0.2417
Tm: 0.1772 0.4398 0.6165
Er: 0.7583 0.7583 0.7583
Tm: 0.5602 0.3835 0.8228
Er: 0.0500 0.8659 0.3751
Er: 0.3751 0.0500 0.8659
Er: 0.1341 0.6249 0.9500
Tm: 0.3835 0.8228 0.5602
Tm: 0.8228 0.5602 0.3835
Er: 0.8659 0.3751 0.0500
Er: 0.9500 0.1341 0.6249
Er: 0.6249 0.9500 0.1341
Tm: 0.4398 0.6165 0.1772
Ca: 0.0000 0.0000 0.0000

For the energy relative to the elements, the calculation gives 0.218 eV per atom. Its total magnetization is 0.0 Bohr magnetons per cell. The density of states at the Fermi level comes out at 20.7 states/eV/cell.

***

Record 9
Computed, not measured: a geometry-optimized CaEr2Tm structure at the PBE level of DFT.

Cell lengths 3.5086, 3.5086, 12.5605 Å; angles 81.97, 81.97, 60.00 degrees
Atoms (fractional coordinates):
Ca: 0.0000 0.0000 0.0000
Er: 0.0917 0.0917 0.7248
Er: 0.9083 0.9083 0.2752
Tm: 0.5000 0.5000 0.5000

For the energy relative to the elements, the calculation gives 0.169 eV per atom. Its total magnetization is 0.0 Bohr magnetons per cell. The value obtained for the polymorph energy (0 for the lowest one) is 97 meV/atom. The density of states at the Fermi level comes out at 5.1 states/eV/cell.

***

Record 10
Computed, not measured: a geometry-optimized CaEr4Tm structure at the PBE level of DFT.

Cell lengths 6.5715, 6.5715, 6.5715 Å; angles 60.00, 60.00, 60.00 degrees
Atoms (fractional coordinates):
Er: 0.1206 0.6265 0.6265
Er: 0.6265 0.6265 0.1206
Er: 0.6265 0.1206 0.6265
Er: 0.6265 0.6265 0.6265
Ca: 0.2500 0.2500 0.2500
Tm: 0.0000 0.0000 0.0000

For the energy relative to the elements, the calculation gives 0.225 eV per atom. Its total magnetization is 0.0 Bohr magnetons per cell. The density of states at the Fermi level comes out at 8.7 states/eV/cell.

***

Record 11
Computed, not measured: a geometry-optimized CaEr12Tm6 structure at the PBE level of DFT.

Cell lengths 9.2157, 9.2157, 9.2157 Å; angles 107.47, 107.47, 107.47 degrees
Atoms (fractional coordinates):
Er: 0.6439 0.8686 0.6439
Er: 0.5000 0.1122 0.8878
Er: 0.1122 0.5000 0.8878
Er: 0.6439 0.6439 0.8686
Er: 0.8878 0.1122 0.5000
Er: 0.5000 0.8878 0.1122
Tm: 0.3116 0.3116 0.7219
Er: 0.8686 0.6439 0.6439
Tm: 0.3116 0.7219 0.3116
Ca: 0.0000 0.0000 0.0000
Er: 0.8878 0.5000 0.1122
Er: 0.3561 0.1314 0.3561
Er: 0.3561 0.3561 0.1314
Tm: 0.6884 0.6884 0.2781
Tm: 0.7219 0.3116 0.3116
Tm: 0.6884 0.2781 0.6884
Er: 0.1314 0.3561 0.3561
Tm: 0.2781 0.6884 0.6884
Er: 0.1122 0.8878 0.5000

For the energy relative to the elements, the calculation gives 0.433 eV per atom. Its total magnetization is 0.0 Bohr magnetons per cell. The density of states at the Fermi level comes out at 23.8 states/eV/cell.

***

Record 12
Computed, not measured: a geometry-optimized CaErTm4 structure at the PBE level of DFT.

Cell lengths 6.5561, 6.5561, 6.5561 Å; angles 60.00, 60.00, 60.00 degrees
Atoms (fractional coordinates):
Tm: 0.6264 0.6264 0.1208
Er: 0.0000 0.0000 0.0000
Tm: 0.6264 0.1208 0.6264
Ca: 0.2500 0.2500 0.2500
Tm: 0.1208 0.6264 0.6264
Tm: 0.6264 0.6264 0.6264

For the energy relative to the elements, the calculation gives 0.227 eV per atom. Its total magnetization is 0.0 Bohr magnetons per cell. The density of states at the Fermi level comes out at 9.0 states/eV/cell.